A relaxed TaW3F crystal, computed with PBE with a Hubbard U.

## Properties
For the distance to the lowest polymorph of the same formula, the calculation gives 0 meV/atom.

abc: 4.3424 4.3424 4.3424
angles: 90.00 90.00 90.00
Positions (direct):
F  0.0000  0.0000  0.0000
W  0.0000  0.5000  0.0000
W  0.0000  0.0000  0.5000
W  0.5000  0.0000  0.0000
Ta  0.5000  0.5000  0.5000